# 1
Na6Ag5 | PBE | optimized geometry

Geometry as POSCAR:
```
Na6Ag5
1.0
5.000 0.000 0.000
-0.163 6.405 0.000
-2.238 -0.979 8.243
Na Ag
6 5
direct
0.099 0.445 0.189
0.196 0.068 0.383
0.385 0.272 0.790
0.615 0.728 0.210
0.804 0.932 0.617
0.901 0.555 0.811
0.000 0.000 0.000
0.274 0.607 0.548
0.433 0.833 0.865
0.567 0.167 0.135
0.726 0.393 0.452
```

## Properties
DFT total energy	-22.268	eV/cell
symmetry	No. 2
formation energy from the elements	-9	meV/atom
size of the total moment	0.0000	μB/atom

=====

# 2
NaAg2 | PBE | optimized geometry

Geometry as POSCAR:
```
NaAg2
1.0
-1.479 1.479 6.901
1.479 -1.479 6.901
1.479 1.479 -6.901
Na Ag
1 2
direct
0.000 0.000 0.000
0.326 0.326 0.000
0.674 0.674 0.000
```

## Properties
DFT total energy	-6.921	eV/cell
symmetry	No. 139
formation energy from the elements	34	meV/atom
excess energy over the best structure of this formula in the dataset	0.359	eV/f.u.
size of the total moment	0.0000	μB/atom

=====

# 3
Na6Ag | PBE | optimized geometry

Geometry as POSCAR:
```
Na6Ag
1.0
4.960 -4.312 0.000
4.960 4.312 0.000
0.000 0.000 10.570
Na Ag
12 2
direct
0.030 0.609 0.250
0.166 0.834 0.589
0.166 0.834 0.911
0.326 0.326 0.000
0.326 0.326 0.500
0.391 0.970 0.250
0.609 0.030 0.750
0.674 0.674 0.000
0.674 0.674 0.500
0.834 0.166 0.089
0.834 0.166 0.411
0.970 0.391 0.750
0.472 0.528 0.750
0.528 0.472 0.250
```

## Properties
DFT total energy	-21.469	eV/cell
symmetry	No. 63
formation energy from the elements	4	meV/atom
excess energy over the best structure of this formula in the dataset	0.000	eV/f.u.
size of the total moment	0.0000	μB/atom

=====

# 4
NaAg6 | PBE | optimized geometry

Geometry as POSCAR:
```
NaAg6
1.0
-3.766 3.766 3.766
3.766 -3.766 3.766
3.766 3.766 -3.766
Na Ag
1 6
direct
0.000 0.000 0.000
0.250 0.500 0.750
0.250 0.750 0.500
0.500 0.250 0.750
0.500 0.750 0.250
0.750 0.250 0.500
0.750 0.500 0.250
```

## Properties
DFT total energy	-14.997	eV/cell
symmetry	No. 229
formation energy from the elements	490	meV/atom
excess energy over the best structure of this formula in the dataset	3.100	eV/f.u.
size of the total moment	0.0000	μB/atom

=====

# 5
NaAg6 | PBE | optimized geometry

Geometry as POSCAR:
```
NaAg6
1.0
9.103 0.000 0.000
0.000 5.597 0.000
0.000 0.000 11.256
Na Ag
4 24
direct
0.242 0.250 0.064
0.258 0.750 0.564
0.742 0.250 0.436
0.758 0.750 0.936
0.058 0.006 0.308
0.058 0.494 0.308
0.063 0.750 0.085
0.116 0.250 0.521
0.152 0.750 0.847
0.188 0.250 0.766
0.312 0.750 0.266
0.348 0.250 0.347
0.384 0.750 0.021
0.437 0.250 0.585
0.442 0.506 0.808
0.442 0.994 0.808
0.558 0.006 0.192
0.558 0.494 0.192
0.563 0.750 0.415
0.616 0.250 0.979
0.652 0.750 0.653
0.688 0.250 0.734
0.812 0.750 0.234
0.848 0.250 0.153
0.884 0.750 0.479
0.937 0.250 0.915
0.942 0.506 0.692
0.942 0.994 0.692
```

## Properties
DFT total energy	-72.387	eV/cell
symmetry	No. 62
formation energy from the elements	47	meV/atom
excess energy over the best structure of this formula in the dataset	0.000	eV/f.u.
size of the total moment	0.0000	μB/atom

=====

# 6
NaAg12 | PBE | optimized geometry

Geometry as POSCAR:
```
NaAg12
1.0
-4.828 4.828 2.738
4.828 -4.828 2.738
4.828 4.828 -2.738
Na Ag
1 12
direct
0.000 0.000 0.000
0.000 0.000 0.500
0.000 0.353 0.353
0.000 0.500 0.000
0.000 0.647 0.647
0.284 0.500 0.784
0.353 0.000 0.353
0.500 0.000 0.000
0.500 0.284 0.784
0.500 0.500 0.500
0.500 0.716 0.216
0.647 0.000 0.647
0.716 0.500 0.216
```

## Properties
DFT total energy	-34.898	eV/cell
symmetry	No. 139
formation energy from the elements	49	meV/atom
size of the total moment	0.0000	μB/atom

=====

# 7
Na4Ag | PBE | optimized geometry

Geometry as POSCAR:
```
Na4Ag
1.0
5.733 0.000 0.000
0.000 5.733 0.000
0.000 0.000 5.733
Na Ag
4 1
direct
0.000 0.000 0.000
0.000 0.500 0.500
0.500 0.000 0.500
0.500 0.500 0.000
0.500 0.500 0.500
```

## Properties
DFT total energy	-7.686	eV/cell
symmetry	No. 221
formation energy from the elements	88	meV/atom
excess energy over the best structure of this formula in the dataset	0.507	eV/f.u.
size of the total moment	0.0000	μB/atom

=====

# 8
Na15Ag | PBE | optimized geometry

Geometry as POSCAR:
```
Na15Ag
1.0
7.353 0.000 0.000
-3.677 6.368 0.000
0.000 0.000 11.720
Na Ag
15 1
direct
0.000 0.000 0.000
0.007 0.504 0.500
0.320 0.160 0.269
0.320 0.160 0.731
0.333 0.667 0.242
0.333 0.667 0.758
0.496 0.504 0.500
0.496 0.993 0.500
0.504 0.007 0.000
0.504 0.496 0.000
0.840 0.160 0.269
0.840 0.160 0.731
0.840 0.680 0.269
0.840 0.680 0.731
0.993 0.496 0.000
0.000 0.000 0.500
```

## Properties
DFT total energy	-22.310	eV/cell
symmetry	No. 187
formation energy from the elements	20	meV/atom
size of the total moment	0.0000	μB/atom

=====

# 9
Na5Ag2 | PBE | optimized geometry

Geometry as POSCAR:
```
Na5Ag2
1.0
7.967 -2.877 0.000
7.967 2.877 0.000
-1.488 0.000 8.699
Na Ag
10 4
direct
0.084 0.351 0.325
0.191 0.809 0.750
0.226 0.578 0.067
0.351 0.084 0.825
0.422 0.774 0.433
0.578 0.226 0.567
0.649 0.916 0.175
0.774 0.422 0.933
0.809 0.191 0.250
0.916 0.649 0.675
0.084 0.722 0.416
0.278 0.916 0.084
0.722 0.084 0.916
0.916 0.278 0.584
```

## Properties
DFT total energy	-24.481	eV/cell
symmetry	No. 15
formation energy from the elements	8	meV/atom
size of the total moment	0.0000	μB/atom

=====

# 10
NaAg8 | PBE | optimized geometry

Geometry as POSCAR:
```
NaAg8
1.0
-4.419 4.419 2.117
4.419 -4.419 2.117
4.419 4.419 -2.117
Na Ag
1 8
direct
0.000 0.000 0.000
0.000 0.335 0.335
0.000 0.665 0.665
0.330 0.330 0.661
0.330 0.670 0.000
0.335 0.000 0.335
0.665 0.000 0.665
0.670 0.330 0.000
0.670 0.670 0.339
```

## Properties
DFT total energy	-23.923	eV/cell
symmetry	No. 139
formation energy from the elements	23	meV/atom
excess energy over the best structure of this formula in the dataset	0.000	eV/f.u.
size of the total moment	0.0000	μB/atom

=====

# 11
Na4Ag | PBE | optimized geometry

Geometry as POSCAR:
```
Na4Ag
1.0
0.000 5.757 5.757
5.757 0.000 5.757
5.757 5.757 0.000
Na Ag
8 2
direct
0.198 0.767 0.767
0.233 0.233 0.233
0.233 0.233 0.802
0.233 0.802 0.233
0.767 0.198 0.767
0.767 0.767 0.198
0.767 0.767 0.767
0.802 0.233 0.233
0.375 0.375 0.375
0.625 0.625 0.625
```

## Properties
DFT total energy	-14.428	eV/cell
symmetry	No. 227
formation energy from the elements	183	meV/atom
excess energy over the best structure of this formula in the dataset	0.978	eV/f.u.
size of the total moment	0.0000	μB/atom

=====

# 12
Na6Ag7 | PBE | optimized geometry

Geometry as POSCAR:
```
Na6Ag7
1.0
2.862 1.653 10.376
-2.862 1.653 10.376
0.000 -3.305 10.376
Na Ag
6 7
direct
0.053 0.053 0.053
0.153 0.153 0.153
0.333 0.333 0.333
0.667 0.667 0.667
0.847 0.847 0.847
0.947 0.947 0.947
0.089 0.591 0.591
0.409 0.409 0.911
0.409 0.911 0.409
0.500 0.500 0.500
0.591 0.089 0.591
0.591 0.591 0.089
0.911 0.409 0.409
```

## Properties
DFT total energy	-28.756	eV/cell
symmetry	No. 166
formation energy from the elements	-68	meV/atom
size of the total moment	0.0000	μB/atom

=====

# 13
NaAg7 | PBE | optimized geometry

Geometry as POSCAR:
```
NaAg7
1.0
0.000 4.193 4.193
4.193 0.000 4.193
4.193 4.193 0.000
Na Ag
1 7
direct
0.000 0.000 0.000
0.000 0.000 0.500
0.000 0.500 0.000
0.000 0.500 0.500
0.500 0.000 0.000
0.500 0.000 0.500
0.500 0.500 0.000
0.500 0.500 0.500
```

## Properties
DFT total energy	-21.036	eV/cell
symmetry	No. 225
formation energy from the elements	30	meV/atom
size of the total moment	0.0000	μB/atom

=====

# 14
Na7Ag | PBE | optimized geometry

Geometry as POSCAR:
```
Na7Ag
1.0
2.812 1.623 9.247
-2.812 1.623 9.247
0.000 -3.247 9.247
Na Ag
7 1
direct
0.000 0.000 0.000
0.133 0.133 0.133
0.250 0.250 0.250
0.386 0.386 0.386
0.614 0.614 0.614
0.750 0.750 0.750
0.867 0.867 0.867
0.500 0.500 0.500
```

## Properties
DFT total energy	-11.908	eV/cell
symmetry	No. 166
formation energy from the elements	22	meV/atom
size of the total moment	0.0000	μB/atom

=====

# 15
Na4Ag | PBE | optimized geometry

Geometry as POSCAR:
```
Na4Ag
1.0
-3.641 7.488 2.878
3.641 -7.488 2.878
3.641 7.488 -2.878
Na Ag
8 2
direct
0.083 0.662 0.745
0.176 0.147 0.323
0.324 0.647 0.972
0.417 0.162 0.579
0.583 0.838 0.421
0.676 0.353 0.028
0.824 0.853 0.677
0.917 0.338 0.255
0.250 0.250 0.000
0.750 0.750 0.000
```

## Properties
DFT total energy	-16.385	eV/cell
symmetry	No. 72
formation energy from the elements	-13	meV/atom
excess energy over the best structure of this formula in the dataset	0.000	eV/f.u.
size of the total moment	0.0000	μB/atom

=====

# 16
Na6Ag | PBE | optimized geometry

Geometry as POSCAR:
```
Na6Ag
1.0
-4.382 4.382 4.382
4.382 -4.382 4.382
4.382 4.382 -4.382
Na Ag
6 1
direct
0.250 0.500 0.750
0.250 0.750 0.500
0.500 0.250 0.750
0.500 0.750 0.250
0.750 0.250 0.500
0.750 0.500 0.250
0.000 0.000 0.000
```

## Properties
DFT total energy	-7.049	eV/cell
symmetry	No. 229
formation energy from the elements	531	meV/atom
excess energy over the best structure of this formula in the dataset	3.686	eV/f.u.
size of the total moment	0.0000	μB/atom

=====

# 17
Na13Ag2 | PBE | optimized geometry

Geometry as POSCAR:
```
Na13Ag2
1.0
4.641 2.680 6.842
-4.641 2.680 6.842
0.000 -5.359 6.842
Na Ag
13 2
direct
0.000 0.000 0.000
0.124 0.124 0.505
0.124 0.505 0.124
0.298 0.298 0.694
0.298 0.694 0.298
0.306 0.702 0.702
0.495 0.876 0.876
0.505 0.124 0.124
0.694 0.298 0.298
0.702 0.306 0.702
0.702 0.702 0.306
0.876 0.495 0.876
0.876 0.876 0.495
0.140 0.140 0.140
0.860 0.860 0.860
```

## Properties
DFT total energy	-22.148	eV/cell
symmetry	No. 166
formation energy from the elements	47	meV/atom
excess energy over the best structure of this formula in the dataset	0.545	eV/f.u.
size of the total moment	0.0000	μB/atom

=====

# 18
NaAg2 | PBE | optimized geometry

Geometry as POSCAR:
```
NaAg2
1.0
0.000 4.008 4.008
4.008 0.000 4.008
4.008 4.008 0.000
Na Ag
2 4
direct
0.125 0.125 0.125
0.875 0.875 0.875
0.000 0.500 0.500
0.500 0.000 0.500
0.500 0.500 0.000
0.500 0.500 0.500
```

## Properties
DFT total energy	-14.561	eV/cell
symmetry	No. 227
formation energy from the elements	-86	meV/atom
excess energy over the best structure of this formula in the dataset	0.000	eV/f.u.
size of the total moment	0.0000	μB/atom

=====

# 19
Na13Ag2 | PBE | optimized geometry

Geometry as POSCAR:
```
Na13Ag2
1.0
7.184 0.000 0.000
1.615 8.067 0.000
0.195 3.933 8.616
Na Ag
13 2
direct
0.000 0.000 0.000
0.048 0.562 0.646
0.171 0.011 0.650
0.235 0.583 0.017
0.290 0.097 0.252
0.425 0.226 0.859
0.483 0.338 0.432
0.517 0.662 0.568
0.575 0.774 0.141
0.710 0.903 0.748
0.765 0.417 0.983
0.829 0.989 0.350
0.952 0.438 0.354
0.202 0.721 0.310
0.798 0.279 0.690
```

## Properties
DFT total energy	-22.693	eV/cell
symmetry	No. 2
formation energy from the elements	10	meV/atom
excess energy over the best structure of this formula in the dataset	0.000	eV/f.u.
size of the total moment	0.0000	μB/atom

=====

# 20
NaNb2Ag | PBE | optimized geometry

Geometry as POSCAR:
```
NaNb2Ag
1.0
0.000 3.343 3.343
3.343 0.000 3.343
3.343 3.343 0.000
Na Nb Ag
1 2 1
direct
0.000 0.000 0.000
0.250 0.250 0.250
0.750 0.750 0.750
0.500 0.500 0.500
```

## Properties
DFT total energy	-20.489	eV/cell
symmetry	No. 225
formation energy from the elements	955	meV/atom
excess energy over the best structure of this formula in the dataset	0.000	eV/f.u.
size of the total moment	0.0000	μB/atom